This record from Alexandria describes a relaxed structure of KLaCuI5. The functional is PBE-GGA.

Lattice parameters (Å, degrees): 10.137 13.472 11.615 90.00 113.75 90.00
Space group C2/c (No. 15)
One atom of each set of equivalent atoms:
K  0.000  0.133  0.250 (multiplicity 4)
La  0.000  0.500  0.000 (multiplicity 4)
Cu  0.000  0.187  0.750 (multiplicity 4)
I  0.000  0.401  0.250 (multiplicity 4)
I  0.128  0.296  0.636 (multiplicity 8)
I  0.180  0.075  0.934 (multiplicity 8)

## Properties
**Final energy**: -3.369 eV per atom
**Formation energy (no corrections)**: -1.135 eV/atom
**M_tot**: 0.48 Bohr magnetons per cell
**N(E_F)**: 0.000 states/eV per atom
**Crystal system**: monoclinic


This record from Alexandria describes a relaxed structure of SrGa. The functional is PBE-GGA.

Lattice parameters (Å, degrees): 6.576 6.576 6.576 90.00 90.00 90.00
Space group Fm-3m (No. 225)
One atom of each set of equivalent atoms:
Sr  0.000  0.000  0.000 (multiplicity 4)
Ga  0.000  0.000  0.500 (multiplicity 4)

## Properties
**Formation energy**: -0.06 eV/atom
**Final energy**: -2.412 eV per atom
**M_tot**: 0.00 Bohr magnetons per cell
**N(E_F)**: 0.812 states/eV per atom
**Crystal system**: cubic


This record from Alexandria describes a relaxed structure of Os2PbO. The functional is PBE-GGA.

Lattice parameters (Å, degrees): 6.287 6.287 6.287 90.00 90.00 90.00
Space group Fm-3m (No. 225)
One atom of each set of equivalent atoms:
Os  0.250  0.250  0.250 (multiplicity 8)
Pb  0.000  0.000  0.000 (multiplicity 4)
O  0.000  0.000  0.500 (multiplicity 4)

## Properties
**Final energy**: -6.308 eV per atom
**Formation energy (no corrections)**: 1.473 eV/atom
**M_tot**: 3.54 Bohr magnetons per cell
**N(E_F)**: 1.623 states/eV per atom
**Crystal system**: cubic


This record from Alexandria describes a relaxed structure of Li3TcP. The functional is PBE-GGA.

Lattice parameters (Å, degrees): 4.723 4.723 4.723 90.00 90.00 90.00
Space group Pm-3m (No. 221)
One atom of each set of equivalent atoms:
Li  0.000  0.000  0.500 (multiplicity 3)
Tc  0.000  0.000  0.000 (multiplicity 1)
P  0.500  0.500  0.500 (multiplicity 1)

## Properties
**Formation energy**: 1.28 eV/atom
**Final energy**: -3.023 eV per atom
**M_tot**: 2.71 Bohr magnetons per cell
**N(E_F)**: 2.204 states/eV per atom
**Crystal system**: cubic


This record from Alexandria describes a relaxed structure of SrSm2Pb. The functional is PBE-GGA.

Lattice parameters (Å, degrees): 3.6979 3.6979 36.9945 90.00 90.00 120.00
Space group R-3m (No. 166, hexagonal axes)
One atom of each set of equivalent atoms:
Sr  0.0000  0.0000  0.0000 (multiplicity 3)
Sm  0.0000  0.0000  0.0966 (multiplicity 6)
Pb  0.0000  0.0000  0.5000 (multiplicity 3)

## Properties
**Formation energy**: 0.07 eV/atom
**Final energy**: -3.640 eV per atom
**M_tot**: 0.00 Bohr magnetons per cell
**N(E_F)**: 1.180 states/eV per atom
**Crystal system**: trigonal


This record from Alexandria describes a relaxed structure of LiHfO. The functional is PBE-GGA.

Lattice parameters (Å, degrees): 3.1561 3.1561 25.3750 90.00 90.00 120.00
Space group R3m (No. 160, hexagonal axes)
One atom of each set of equivalent atoms:
Li  0.0000  0.0000  0.0000 (multiplicity 3)
Li  0.0000  0.0000  0.3992 (multiplicity 3)
Hf  0.0000  0.0000  0.2452 (multiplicity 3)
Hf  0.0000  0.0000  0.8161 (multiplicity 3)
O  0.0000  0.0000  0.0863 (multiplicity 3)
O  0.0000  0.0000  0.6368 (multiplicity 3)

## Properties
**Final energy**: -7.278 eV per atom
**Formation energy (no corrections)**: -1.670 eV/atom
**M_tot**: 0.00 Bohr magnetons per cell
**N(E_F)**: 0.350 states/eV per atom
**Crystal system**: trigonal


This record from Alexandria describes a relaxed structure of ZrCu2Ag. The functional is PBE-GGA.

Lattice parameters (Å, degrees): 2.9293 2.9293 26.6881 90.00 90.00 120.00
Space group R3m (No. 160, hexagonal axes)
One atom of each set of equivalent atoms:
Zr  0.0000  0.0000  0.0000 (multiplicity 3)
Cu  0.0000  0.0000  0.4890 (multiplicity 3)
Cu  0.0000  0.0000  0.7530 (multiplicity 3)
Ag  0.0000  0.0000  0.2361 (multiplicity 3)

## Properties
**Formation energy**: 0.14 eV/atom
**Final energy**: -4.754 eV per atom
**M_tot**: 0.00 Bohr magnetons per cell
**N(E_F)**: 0.685 states/eV per atom
**Crystal system**: trigonal


This record from Alexandria describes a relaxed structure of TaTi5Rh4. The functional is PBE-GGA.

Lattice parameters (Å, degrees): 3.151 3.151 15.582 90.00 90.00 90.00
Space group P4/mmm (No. 123)
One atom of each set of equivalent atoms:
Ta  0.000  0.000  0.000 (multiplicity 1)
Ti  0.500  0.500  0.109 (multiplicity 2)
Ti  0.500  0.500  0.306 (multiplicity 2)
Ti  0.500  0.500  0.500 (multiplicity 1)
Rh  0.000  0.000  0.211 (multiplicity 2)
Rh  0.000  0.000  0.403 (multiplicity 2)

## Properties
**Formation energy**: -0.62 eV/atom
**Final energy**: -8.697 eV per atom
**M_tot**: 0.00 Bohr magnetons per cell
**N(E_F)**: 0.831 states/eV per atom
**Crystal system**: tetragonal


Question: Which formula does entry 7 have?
Answer: ZrCu2Ag